Here is Ce2HoCrN4 after structural relaxation from the Alexandria database. Energies are from GGA-PBE.

Cell: 6.543 6.543 13.235 Å, 90.00 90.00 149.31°
Positions (direct):
Ce 0.132 0.868 0.537
Ce 0.132 0.868 0.963
Ce 0.868 0.132 0.037
Ce 0.868 0.132 0.463
Ho 0.254 0.746 0.250
Ho 0.746 0.254 0.750
Cr 0.481 0.519 0.250
Cr 0.519 0.481 0.750
N 0.114 0.886 0.750
N 0.261 0.739 0.083
N 0.261 0.739 0.417
N 0.500 0.500 0.000
N 0.500 0.500 0.500
N 0.739 0.261 0.583
N 0.739 0.261 0.917
N 0.886 0.114 0.250

Summary:
Space-group type   No. 63
Magnetization   4.9 μB/f.u.
Formation energy (no corrections)   -841.5 meV/atom
Mass density   6.352 Mg/m³